1 | The following is a PBEsol calculation of an optimized crystal structure of MoOsPb2, from Alexandria.

The structure belongs to space group C2/m (No. 12); the cell edges are 8.887, 3.121 and 5.580 Å and the angles 90.00°, 101.84° and 90.00°. The distinct sites, in fractional coordinates, are Mo at (0.000, 0.000, 0.000), Os at (0.000, 0.500, 0.500) and Pb at (0.247, 0.000, 0.746).

For the total magnetization, the calculation gives 0.0 μB per cell.


2 | The following is a PBEsol calculation of an optimized crystal structure of MoOsPb2, from Alexandria.

The structure belongs to space group Cm (No. 8); the cell edges are 8.193, 3.118 and 7.305 Å and the angles 90.00°, 97.44° and 90.00°. The distinct sites, in fractional coordinates, are Mo at (0.000, 0.000, 0.000), Os at (0.272, 0.000, 0.896), Pb at (0.025, 0.500, 0.635) and Pb at (0.245, 0.500, 0.261).

For the total magnetization, the calculation gives 0.0 μB per cell.


Verdict on stability: 2 comes out on top.


1 | The following is a PBEsol calculation of an optimized crystal structure of MoOs2Pt, from Alexandria.

The structure belongs to space group Pmmm (No. 47); the cell edges are 2.711, 3.900 and 5.477 Å and the angles 90.00°, 90.00° and 90.00°. The distinct sites, in fractional coordinates, are Mo at (0.000, 0.000, 0.000), Os at (0.500, 0.500, 0.245) and Pt at (0.000, 0.000, 0.500).

For the total magnetization, the calculation gives 0.0 μB per cell.


2 | The following is a PBEsol calculation of an optimized crystal structure of MoOs2Pt, from Alexandria.

The structure belongs to space group Fm-3m (No. 225); the cell edges are 6.177, 6.177 and 6.177 Å and the angles 90.00°, 90.00° and 90.00°. The distinct sites, in fractional coordinates, are Mo at (0.000, 0.000, 0.000), Os at (0.250, 0.250, 0.250) and Pt at (0.000, 0.000, 0.500).

For the total magnetization, the calculation gives 0.0 μB per cell.


3 | The following is a PBEsol calculation of an optimized crystal structure of MoOs2Pt, from Alexandria.

The structure belongs to space group P4mm (No. 99); the cell edges are 3.304, 3.304 and 5.464 Å and the angles 90.00°, 90.00° and 90.00°. The distinct sites, in fractional coordinates, are Mo at (0.000, 0.000, 0.000), Os at (0.000, 0.000, 0.475), Os at (0.500, 0.500, 0.250) and Pt at (0.500, 0.500, 0.739).

For the total magnetization, the calculation gives 0.7 μB per cell.


Verdict on stability: 1 comes out on top.